1.
# PBE Zn2WCl, optimized geometry
# Fermi-level density of states = 0.5861 states/eV/atom
# Crystal system = monoclinic
# Final energy = -3.746 eV per atom
# Distance to the lowest polymorph of the same formula = 168 kJ/mol of formula units
# Size of the total moment = 0.00 μB/f.u.
# Formation energy (no corrections) = 2.4 eV per formula unit
data_Zn2WCl
_chemical_formula_sum 'Zn4 W2 Cl2'
_cell_length_a 10.7635
_cell_length_b 2.8107
_cell_length_c 4.3669
_cell_angle_alpha 90.00
_cell_angle_beta 99.24
_cell_angle_gamma 90.00
_space_group_name_H-M_alt 'C 1 2/m 1'
_space_group_IT_number 12
_space_group_name_Hall '-C 2y'
loop_
_atom_site_label
_atom_site_type_symbol
_atom_site_fract_x
_atom_site_fract_y
_atom_site_fract_z
Zn1 Zn 0.2260 0.0000 0.2311
W1 W 0.0000 0.5000 0.0000
Cl1 Cl 0.0000 0.0000 0.5000

2.
# PBE Th2CuN, optimized geometry
# Fermi-level density of states = 0.6487 states/eV/atom
# Crystal system = trigonal
# Final energy = -7.443 eV per atom
# Size of the total moment = 0.00 μB/f.u.
# Formation energy (no corrections) = -2.5 eV per formula unit
data_Th2CuN
_chemical_formula_sum 'Th6 Cu3 N3'
_cell_length_a 3.7646
_cell_length_b 3.7646
_cell_length_c 20.7052
_cell_angle_alpha 90.00
_cell_angle_beta 90.00
_cell_angle_gamma 120.00
_space_group_name_H-M_alt 'R -3 m'
_space_group_IT_number 166
_space_group_name_Hall '-R 3 2"'
loop_
_atom_site_label
_atom_site_type_symbol
_atom_site_fract_x
_atom_site_fract_y
_atom_site_fract_z
Th1 Th 0.0000 0.0000 0.2341
Cu1 Cu 0.0000 0.0000 0.0000
N1 N 0.0000 0.0000 0.5000